P | ! Pm2Sm3Tm2 PBE relaxed; values from VASP
&SYSTEM
  ibrav = 0, nat = 7, ntyp = 3
/
ATOMIC_SPECIES
Pm 145.00 Pm.upf
Sm 150.36 Sm.upf
Tm 168.93 Tm.upf
CELL_PARAMETERS angstrom
3.5371 -0.4464 0.4948
-0.6333 11.7188 2.0484
1.1479 1.2008 5.9836
ATOMIC_POSITIONS angstrom
Pm 3.4355 1.8160 3.2618
Pm 0.6162 10.6572 5.2650
Sm 0.0000 0.0000 0.0000
Sm 2.0799 5.1237 2.8725
Sm 1.9718 7.3495 5.6544
Tm 3.3326 4.0687 6.0547
Tm 0.7191 8.4045 2.4722
! Total magnetization in μB per formula unit: 0.000
! ρ in g/cm³: 7.81
! V in Å³ per atom: 32.79
! Space group: P-1, No. 2

Q | ! Pm2Sm3Tm2 PBE relaxed; values from VASP
&SYSTEM
  ibrav = 0, nat = 7, ntyp = 3
/
ATOMIC_SPECIES
Pm 145.00 Pm.upf
Sm 150.36 Sm.upf
Tm 168.93 Tm.upf
CELL_PARAMETERS angstrom
3.5229 0.0000 0.0000
0.0000 8.5526 -0.7167
-1.7615 -3.6256 8.0365
ATOMIC_POSITIONS angstrom
Pm 1.7615 7.3295 0.3978
Pm 0.0000 -2.4025 6.9220
Sm 0.0000 4.2763 -0.3584
Sm 0.0000 5.2716 2.8399
Sm 1.7615 -0.3446 4.4799
Tm 1.7615 3.1633 5.1730
Tm 0.0000 1.7637 2.1468
! Total magnetization in μB per formula unit: 0.000
! ρ in g/cm³: 7.69
! V in Å³ per atom: 33.28
! Space group: C2/m, No. 12

Most stable structure - P; separation to the second - 102 meV per atom.

P | ! PmSm2Tm8 PBE relaxed; values from VASP
&SYSTEM
  ibrav = 0, nat = 11, ntyp = 3
/
ATOMIC_SPECIES
Pm 145.00 Pm.upf
Sm 150.36 Sm.upf
Tm 168.93 Tm.upf
CELL_PARAMETERS angstrom
-3.0571 -0.5423 -3.9079
-0.9202 -7.6278 1.7785
-4.9809 4.5463 6.4529
ATOMIC_POSITIONS angstrom
Pm -1.5285 -0.2712 -1.9539
Sm -5.4102 -0.7104 1.1436
Sm -3.5480 -2.9134 3.1799
Tm -5.8381 -0.6492 4.6572
Tm -4.7274 -5.6432 1.2940
Tm -7.0186 -3.4133 2.7769
Tm -7.7063 1.5338 2.6284
Tm -1.9396 -0.2106 1.5466
Tm -4.2308 2.0193 3.0295
Tm -3.1201 -2.9746 -0.3337
Tm -1.2519 -5.1576 1.6951
! Total magnetization in μB per formula unit: 0.000
! ρ in g/cm³: 8.74
! V in Å³ per atom: 31.05
! Space group: C2/m, No. 12

Q | ! PmSm2Tm8 PBE relaxed; values from VASP
&SYSTEM
  ibrav = 0, nat = 11, ntyp = 3
/
ATOMIC_SPECIES
Pm 145.00 Pm.upf
Sm 150.36 Sm.upf
Tm 168.93 Tm.upf
CELL_PARAMETERS angstrom
-1.3884 -4.9589 -1.7533
7.7363 -2.0410 -0.3536
-3.5091 0.9205 8.6146
ATOMIC_POSITIONS angstrom
Pm -0.6942 -2.4795 -0.8766
Sm 3.7336 -2.0524 2.8483
Sm -0.8949 -4.0270 3.6595
Tm 4.6915 -4.6453 0.9842
Tm 1.3698 -2.2844 5.3766
Tm -0.1080 -0.8327 2.4408
Tm -2.6304 -4.6365 6.7576
Tm 2.9467 -5.2467 4.0669
Tm 1.4689 -3.7950 1.1312
Tm -1.8528 -1.4341 5.5236
Tm 5.4692 -1.4429 -0.2499
! Total magnetization in μB per formula unit: 0.000
! ρ in g/cm³: 8.57
! V in Å³ per atom: 31.67
! Space group: Immm, No. 71

Most stable structure - P; separation to the second - 90 meV per atom.

P | ! PmSm3Tm3 PBE relaxed; values from VASP
&SYSTEM
  ibrav = 0, nat = 14, ntyp = 3
/
ATOMIC_SPECIES
Pm 145.00 Pm.upf
Sm 150.36 Sm.upf
Tm 168.93 Tm.upf
CELL_PARAMETERS angstrom
5.7071 0.0000 0.0000
0.0000 9.6018 -0.0116
0.0000 -4.7897 8.3210
ATOMIC_POSITIONS angstrom
Pm 4.2804 0.0080 5.5438
Pm 1.4268 4.8041 2.7656
Sm 4.2804 3.4135 6.7199
Sm 4.2804 -0.6771 2.0081
Sm 4.2804 -2.7138 7.9027
Sm 1.4268 1.3986 1.5895
Sm 1.4268 5.4892 6.3013
Sm 1.4268 7.5259 0.4067
Tm 1.4268 2.0550 5.1316
Tm 1.4268 -1.3732 3.9786
Tm 1.4268 -0.6580 7.5235
Tm 4.2804 2.7571 3.1778
Tm 4.2804 6.1853 4.3309
Tm 4.2804 5.4701 0.7859
! Total magnetization in μB per formula unit: 0.000
! ρ in g/cm³: 8.04
! V in Å³ per atom: 32.55
! Space group: P6_3/m, No. 176

Q | ! PmSm3Tm3 PBE relaxed; values from VASP
&SYSTEM
  ibrav = 0, nat = 14, ntyp = 3
/
ATOMIC_SPECIES
Pm 145.00 Pm.upf
Sm 150.36 Sm.upf
Tm 168.93 Tm.upf
CELL_PARAMETERS angstrom
-8.4784 0.8938 2.3345
-5.3849 -6.9859 0.5764
-2.9646 -2.9051 7.8041
ATOMIC_POSITIONS angstrom
Pm -5.8118 -3.1073 3.7006
Pm -11.0161 -5.8899 7.0145
Sm -9.3696 -3.5201 2.5514
Sm -6.1508 -6.6196 5.0039
Sm -7.3192 -2.0717 6.9877
Sm -9.5087 -6.9254 3.7274
Sm -10.6771 -2.3776 5.7111
Sm -7.4583 -5.4771 8.1637
Tm -9.7756 -3.2835 9.0785
Tm -8.6259 -8.4677 6.5311
Tm -12.3059 -4.6668 3.9432
Tm -4.5220 -4.3304 6.7719
Tm -8.2020 -0.5295 4.1839
Tm -7.0523 -5.7137 1.6366
! Total magnetization in μB per formula unit: 0.000
! ρ in g/cm³: 7.76
! V in Å³ per atom: 33.73
! Space group: R-3, No. 148

Most stable structure - P; separation to the second - 185 meV per atom.

P | ! Pm3Sm3Tm PBE relaxed; values from VASP
&SYSTEM
  ibrav = 0, nat = 14, ntyp = 3
/
ATOMIC_SPECIES
Pm 145.00 Pm.upf
Sm 150.36 Sm.upf
Tm 168.93 Tm.upf
CELL_PARAMETERS angstrom
5.8062 0.0000 0.0000
0.0000 9.7004 0.0009
0.0000 -4.8516 8.3970
ATOMIC_POSITIONS angstrom
Pm 4.3546 3.4531 6.7753
Pm 4.3546 -0.7055 2.0184
Pm 4.3546 -2.7486 7.9990
Pm 1.4515 1.3957 1.6226
Pm 1.4515 5.5543 6.3795
Pm 1.4515 7.5973 0.3989
Sm 1.4515 2.0758 5.1932
Sm 1.4515 -1.3913 4.0033
Sm 1.4515 -0.6893 7.5985
Sm 4.3546 2.7729 3.2047
Sm 4.3546 6.2401 4.3946
Sm 4.3546 5.5380 0.7994
Tm 4.3546 0.0001 5.5981
Tm 1.4515 4.8486 2.7998
! Total magnetization in μB per formula unit: 0.000
! ρ in g/cm³: 7.41
! V in Å³ per atom: 33.78
! Space group: P6_3/m, No. 176

Q | ! Pm3Sm3Tm PBE relaxed; values from VASP
&SYSTEM
  ibrav = 0, nat = 14, ntyp = 3
/
ATOMIC_SPECIES
Pm 145.00 Pm.upf
Sm 150.36 Sm.upf
Tm 168.93 Tm.upf
CELL_PARAMETERS angstrom
7.9205 0.4706 4.0625
2.6837 7.4669 4.0625
0.6287 0.4706 8.8794
ATOMIC_POSITIONS angstrom
Pm 6.6715 2.1270 11.9293
Pm 4.3953 7.4166 10.8174
Pm 9.4340 5.8017 8.2875
Pm 1.7989 2.6064 8.7170
Pm 6.8376 0.9915 6.1870
Pm 4.5614 6.2811 5.0752
Sm 7.2724 4.6070 5.8373
Sm 2.8304 5.6793 8.2413
Sm 5.1291 1.1152 8.9796
Sm 6.1038 7.2929 8.0248
Sm 8.4024 2.7288 8.7631
Sm 3.9605 3.8011 11.1672
Tm 3.8821 2.9058 5.8767
Tm 7.3508 5.5023 11.1278
! Total magnetization in μB per formula unit: 0.000
! ρ in g/cm³: 7.21
! V in Å³ per atom: 34.72
! Space group: R-3, No. 148

Most stable structure - P; separation to the second - 201 meV per atom.

P | ! Pm4Sm6Tm PBE relaxed; values from VASP
&SYSTEM
  ibrav = 0, nat = 22, ntyp = 3
/
ATOMIC_SPECIES
Pm 145.00 Pm.upf
Sm 150.36 Sm.upf
Tm 168.93 Tm.upf
CELL_PARAMETERS angstrom
-1.2741 2.2773 -5.2959
4.7747 -2.9695 0.8652
-12.3375 -21.6904 -6.3590
ATOMIC_POSITIONS angstrom
Pm -4.4342 -11.9658 -7.3695
Pm 2.2105 -4.3155 -2.3875
Pm -4.4027 -10.4168 -3.4202
Pm -11.0475 -18.0671 -8.4022
Pm -9.5034 -20.8778 -9.9823
Pm 0.6665 -1.5048 -0.8074
Pm -7.9118 -12.5545 -6.7860
Pm -0.9251 -9.8281 -4.0037
Sm -0.6370 1.1386 -2.6479
Sm -6.8058 -9.7065 -5.8275
Sm -2.9061 -7.3046 -2.4419
Sm -5.9308 -15.0780 -8.3478
Sm -7.5696 -17.9591 -9.1924
Sm -1.2673 -4.4235 -1.5973
Sm -3.0501 -8.4956 -6.2103
Sm -5.7869 -13.8870 -4.5794
Sm -9.3447 -20.1419 -6.4132
Sm 0.5078 -2.2407 -4.3765
Sm 0.6296 -7.0660 -3.1900
Sm -9.4665 -15.3166 -7.5997
Tm -1.3477 -5.3343 -5.2604
Tm -7.4892 -17.0483 -5.5293
! Total magnetization in μB per formula unit: 0.000
! ρ in g/cm³: 7.42
! V in Å³ per atom: 33.61
! Space group: Cmcm, No. 63

Q | ! Pm4Sm6Tm PBE relaxed; values from VASP
&SYSTEM
  ibrav = 0, nat = 11, ntyp = 3
/
ATOMIC_SPECIES
Pm 145.00 Pm.upf
Sm 150.36 Sm.upf
Tm 168.93 Tm.upf
CELL_PARAMETERS angstrom
7.6029 0.0000 0.0000
0.0000 7.6029 0.0000
-3.8015 -3.8015 6.7704
ATOMIC_POSITIONS angstrom
Pm -2.4898 2.4898 5.6992
Pm 6.2913 6.2913 1.0712
Pm 2.4898 -2.4898 5.6992
Pm 1.3116 1.3116 1.0712
Sm 5.5267 2.0763 2.5328
Sm 2.0763 5.5267 2.5328
Sm 1.7252 1.7252 4.2377
Sm 0.0000 3.8015 0.0000
Sm -1.7252 -1.7252 4.2377
Sm 3.8015 0.0000 0.0000
Tm 3.8015 3.8015 0.0000
! Total magnetization in μB per formula unit: 0.000
! ρ in g/cm³: 7.01
! V in Å³ per atom: 35.58
! Space group: I-42m, No. 121

Most stable structure - P; separation to the second - 272 meV per atom.

P | ! Pm2SmTm PBE relaxed; values from VASP
&SYSTEM
  ibrav = 0, nat = 8, ntyp = 3
/
ATOMIC_SPECIES
Pm 145.00 Pm.upf
Sm 150.36 Sm.upf
Tm 168.93 Tm.upf
CELL_PARAMETERS angstrom
5.7768 0.0000 0.0000
0.0000 7.3399 0.0000
0.0000 0.0000 6.3272
ATOMIC_POSITIONS angstrom
Pm 1.4442 3.6612 1.0592
Pm 4.3326 3.6788 5.2680
Pm 4.3326 7.3311 5.2680
Pm 1.4442 0.0088 1.0592
Sm 1.4442 1.8350 4.2051
Sm 4.3326 5.5050 2.1221
Tm 4.3326 1.8350 2.1087
Tm 1.4442 5.5050 4.2185
! Total magnetization in μB per formula unit: 0.000
! ρ in g/cm³: 7.54
! V in Å³ per atom: 33.54
! Space group: Pmmn, No. 59

Q | ! Pm2SmTm PBE relaxed; values from VASP
&SYSTEM
  ibrav = 0, nat = 4, ntyp = 3
/
ATOMIC_SPECIES
Tm 168.93 Tm.upf
Sm 150.36 Sm.upf
Pm 145.00 Pm.upf
CELL_PARAMETERS angstrom
5.7366 0.0000 0.0000
2.8683 4.9681 0.0000
2.8683 1.6560 4.6839
ATOMIC_POSITIONS angstrom
Tm 5.7366 3.3120 2.3420
Sm 0.0000 0.0000 0.0000
Pm 2.8683 1.6560 1.1710
Pm 8.6049 4.9681 3.5129
! Total magnetization in μB per formula unit: 0.001
! ρ in g/cm³: 7.58
! V in Å³ per atom: 33.37
! Space group: Fm-3m, No. 225

Most stable structure - P; separation to the second - 107 meV per atom.

P | ! Pm4SmTm5 PBE relaxed; values from VASP
&SYSTEM
  ibrav = 0, nat = 10, ntyp = 3
/
ATOMIC_SPECIES
Pm 145.00 Pm.upf
Sm 150.36 Sm.upf
Tm 168.93 Tm.upf
CELL_PARAMETERS angstrom
6.5526 0.5624 1.4999
3.7671 8.5315 2.3615
5.0726 1.8843 7.4704
ATOMIC_POSITIONS angstrom
Pm 8.3151 5.0364 7.0417
Pm 10.1086 8.1723 6.7803
Pm 4.6326 2.7437 4.3944
Pm 6.4351 5.8800 4.1502
Sm 6.5240 1.9031 7.2725
Tm 11.3437 5.5421 8.7960
Tm 6.5992 8.1412 7.0281
Tm 8.1727 2.7826 4.1503
Tm 3.3917 5.3932 2.3891
Tm 8.2300 9.0214 3.9213
! Total magnetization in μB per formula unit: 0.000
! ρ in g/cm³: 8.04
! V in Å³ per atom: 32.51
! Space group: P1, No. 1

Q | ! Pm4SmTm5 PBE relaxed; values from VASP
&SYSTEM
  ibrav = 0, nat = 10, ntyp = 3
/
ATOMIC_SPECIES
Pm 145.00 Pm.upf
Sm 150.36 Sm.upf
Tm 168.93 Tm.upf
CELL_PARAMETERS angstrom
-1.5098 -3.1587 0.6775
8.1010 -2.7281 5.3708
-5.0278 5.6290 5.6302
ATOMIC_POSITIONS angstrom
Pm -2.2537 -0.2340 3.2699
Pm 1.3151 -0.0238 2.8255
Pm 3.8172 -0.0238 8.4086
Pm 0.2484 -0.2340 8.8531
Sm -0.7549 -1.5794 0.3388
Tm 1.7972 -1.5999 5.9389
Tm 5.2875 -1.3582 5.4742
Tm -3.7240 1.1004 6.2044
Tm 3.2956 -2.9434 3.0242
Tm -0.2337 1.3422 5.7397
! Total magnetization in μB per formula unit: 0.000
! ρ in g/cm³: 8.18
! V in Å³ per atom: 31.98
! Space group: C2/m, No. 12

Most stable structure - P; separation to the second - 6 meV per atom.

P | ! Pm4SmTm PBE relaxed; values from VASP
&SYSTEM
  ibrav = 0, nat = 6, ntyp = 3
/
ATOMIC_SPECIES
Tm 168.93 Tm.upf
Sm 150.36 Sm.upf
Pm 145.00 Pm.upf
CELL_PARAMETERS angstrom
-0.1976 -5.6182 -3.5724
5.4680 -3.7546 -0.6071
0.3410 -5.9063 3.0602
ATOMIC_POSITIONS angstrom
Tm 0.0000 0.0000 0.0000
Sm 1.4029 -3.8198 -0.2798
Pm 3.3389 -6.5919 -2.2367
Pm 0.7646 -7.6722 -0.3954
Pm 3.5101 -9.5575 -0.7002
Pm 3.6093 -6.7365 1.0936
! Total magnetization in μB per formula unit: 0.000
! ρ in g/cm³: 7.15
! V in Å³ per atom: 34.83
! Space group: F-43m, No. 216

Q | ! Pm4SmTm PBE relaxed; values from VASP
&SYSTEM
  ibrav = 0, nat = 12, ntyp = 3
/
ATOMIC_SPECIES
Pm 145.00 Pm.upf
Sm 150.36 Sm.upf
Tm 168.93 Tm.upf
CELL_PARAMETERS angstrom
6.1731 0.0000 0.0000
0.0000 5.8078 -0.0620
-3.0866 -2.7767 11.3569
ATOMIC_POSITIONS angstrom
Pm 1.1780 4.3958 3.5857
Pm 4.9952 1.4919 3.6167
Pm 4.1707 4.3760 1.7787
Pm 2.0024 1.4721 1.8097
Pm -1.0841 -1.3449 9.5162
Pm 1.0841 1.5590 9.4852
Pm 1.9086 -1.3647 7.7092
Pm -1.9086 1.5392 7.6782
Sm 1.5433 1.5155 5.6474
Sm -1.5433 -1.3884 5.6784
Tm 1.0568 4.3558 -0.0465
Tm 5.1163 1.4519 -0.0155
! Total magnetization in μB per formula unit: 0.000
! ρ in g/cm³: 7.35
! V in Å³ per atom: 33.84
! Space group: Imma, No. 74

Most stable structure - Q; separation to the second - 199 meV per atom.